Crystalline Na2TlCoBr6 at its relaxed geometry. Source: the Alexandria database, functional PBE-GGA.

The structure in CIF format:
```
data_Na2TlCoBr6
_chemical_formula_sum 'Na6 Tl3 Co3 Br18'
_space_group_name_H-M_alt 'R 3'
_space_group_IT_number 146
_space_group_name_Hall 'R 3'
_cell_length_a 7.3119
_cell_length_b 7.3119
_cell_length_c 19.5647
_cell_angle_alpha 90.00
_cell_angle_beta 90.00
_cell_angle_gamma 120.00
loop_
_atom_site_label
_atom_site_type_symbol
_atom_site_fract_x
_atom_site_fract_y
_atom_site_fract_z
_atom_site_occupancy
Na1 Na 0.0000 0.0000 0.0000 1
Na2 Na 0.0000 0.0000 0.4779 1
Tl1 Tl 0.0000 0.0000 0.1919 1
Co1 Co 0.0000 0.0000 0.6761 1
Br1 Br 0.0090 0.7373 0.6018 1
Br2 Br 0.0123 0.2818 0.7476 1
```

Output
total moment = 0.4 μB per cell
DFT total energy = -3.07 eV/atom
ΔE_f (raw) = -0.85 eV/atom
mass density = 4.34 g/cm³
crystal system = trigonal